No. 1
DFT (PBE) results for crystalline RbBa2VHg at its relaxed geometry.

Space group = P4/mmm (123)
Formation enthalpy at 0 K = 64.3 kJ/mol of atoms

Structure (POSCAR):
```
RbBa2VHg
1.0
6.5671 0.0000 0.0000
0.0000 6.5671 0.0000
0.0000 0.0000 6.4536
Rb Ba V Hg
1 2 1 1
Cartesian
0.0000 0.0000 0.0000 Rb
0.0000 3.2835 3.2268 Ba
3.2835 0.0000 3.2268 Ba
3.2835 3.2835 0.0000 V
0.0000 0.0000 3.2268 Hg
```


No. 2
DFT (PBE) results for crystalline LiCd4Br at its relaxed geometry.

Space group = F-43m (216)
Raw formation energy = -58 meV/atom

Structure (POSCAR):
```
LiCd4Br
1.0
0.0000 4.3217 4.3217
4.3217 0.0000 4.3217
4.3217 4.3217 0.0000
Li Cd Br
1 4 1
Cartesian
0.0000 0.0000 0.0000 Li
3.2367 3.2367 3.2367 Cd
5.4066 5.4066 3.2367 Cd
5.4066 3.2367 5.4066 Cd
3.2367 5.4066 5.4066 Cd
6.4825 6.4825 6.4825 Br
```


No. 3
DFT (PBE) results for crystalline CsAcSnS4 at its relaxed geometry.

Space group = P2_1/m (11)
Raw formation energy = -1304 meV/atom

Structure (POSCAR):
```
CsAcSnS4
1.0
7.1519 0.0000 0.0000
0.0000 7.0662 0.0000
-2.8418 0.0000 9.2701
Cs Ac Sn S
2 2 2 8
Cartesian
0.4036 1.7666 4.0386 Cs
3.9065 5.2997 5.2315 Cs
-0.7679 1.7666 8.7765 Ac
5.0781 5.2997 0.4936 Ac
1.4779 5.2997 1.5940 Sn
2.8322 1.7666 7.6760 Sn
-2.1243 5.2997 8.5760 S
-0.4166 5.2997 3.0401 S
1.2913 3.6055 7.3884 S
1.2913 6.9938 7.3884 S
3.0188 0.0724 1.8817 S
3.0188 3.4607 1.8817 S
4.7267 1.7666 6.2299 S
6.4344 1.7666 0.6941 S
```


No. 4
DFT (PBE) results for crystalline AcPr2ThAs4 at its relaxed geometry.

Space group = P2/m (10)
Formation enthalpy at 0 K = -142.5 kJ/mol of atoms

Structure (POSCAR):
```
AcPr2ThAs4
1.0
7.5178 0.0000 0.0000
0.0000 4.3502 0.0000
-2.5089 0.0000 7.1238
Ac Pr Th As
1 2 1 4
Cartesian
0.0000 0.0000 0.0000 Ac
2.5044 0.0000 3.5619 Pr
3.7589 2.1751 0.0000 Pr
-1.2544 2.1751 3.5619 Th
0.0116 0.0000 5.2765 As
1.2564 2.1751 1.8641 As
3.7525 2.1751 5.2597 As
4.9973 0.0000 1.8472 As
```


Q: Which V values were calculated for the entries above? A: 278.3; 161.4; 468.5; 233.0, in Å³/cell.
Q: Which E values were calculated for the entries above? A: -2.180; -1.266; -4.943; -6.438, in eV per atom.
Q: Which total magnetic moment values were calculated for the entries above? A: 0.87; 0.00; 0.00; 0.00, in μB per atom.